[1]
A plane-wave DFT calculation with PBEsol was carried out for crystalline MnIn2W at its relaxed geometry.

Theoretical density in Mg/m³: 11.2
E_form in meV/atom: 589

```
data_MnIn2W
_chemical_formula_sum 'Mn2 In4 W2'
_cell_length_a 3.9895
_cell_length_b 3.9895
_cell_length_c 8.7079
_cell_angle_alpha 90.00
_cell_angle_beta 90.00
_cell_angle_gamma 90.00
_space_group_name_H-M_alt 'I -4 m 2'
_space_group_IT_number 119
_space_group_name_Hall 'I -4 -2'
loop_
_atom_site_label
_atom_site_fract_x
_atom_site_fract_y
_atom_site_fract_z
_atom_site_occupancy
Mn1 0.0000 0.0000 0.0000 1
In1 0.0000 0.0000 0.5000 1
In2 0.0000 0.5000 0.7500 1
W1 0.0000 0.5000 0.2500 1
```

***

[2]
A plane-wave DFT calculation with PBEsol was carried out for crystalline TlWBr2 at its relaxed geometry.

Theoretical density in Mg/m³: 9.8
Raw formation energy in eV/f.u.: 2.092

```
data_TlWBr2
_chemical_formula_sum 'Tl2 W2 Br4'
_cell_length_a 3.3104
_cell_length_b 5.9015
_cell_length_c 9.5099
_cell_angle_alpha 90.00
_cell_angle_beta 90.00
_cell_angle_gamma 90.00
_space_group_name_H-M_alt 'C m m 2'
_space_group_IT_number 35
loop_
_space_group_symop_operation_xyz
'x,y,z'
'-x,-y,z'
'-x,y,z'
'x,-y,z'
'x+1/2,y+1/2,z'
'-x+1/2,-y+1/2,z'
'-x+1/2,y+1/2,z'
'x+1/2,-y+1/2,z'
loop_
_atom_site_label
_atom_site_fract_x
_atom_site_fract_y
_atom_site_fract_z
_atom_site_occupancy
Tl1 0.0000 0.0000 0.0000 1
W1 0.0000 0.5000 0.2415 1
Br1 0.0000 0.0000 0.4396 1
Br2 0.0000 0.5000 0.7647 1
```

***

[3]
A plane-wave DFT calculation with PBEsol was carried out for crystalline BeSbPt2 at its relaxed geometry.

Theoretical density in Mg/m³: 14.1
Raw formation energy in eV/f.u.: -0.572

```
data_BeSbPt2
_chemical_formula_sum 'Be4 Sb4 Pt8'
_cell_length_a 6.2674
_cell_length_b 6.2674
_cell_length_c 6.2674
_cell_angle_alpha 90.00
_cell_angle_beta 90.00
_cell_angle_gamma 90.00
_space_group_name_H-M_alt 'F m -3 m'
_space_group_IT_number 225
_space_group_name_Hall '-F 4 2 3'
loop_
_atom_site_label
_atom_site_fract_x
_atom_site_fract_y
_atom_site_fract_z
_atom_site_occupancy
Be1 0.0000 0.0000 0.0000 1
Sb1 0.0000 0.0000 0.5000 1
Pt1 0.2500 0.2500 0.2500 1
```

***

[4]
A plane-wave DFT calculation with PBEsol was carried out for crystalline CrRuPt2 at its relaxed geometry.

Theoretical density in Mg/m³: 16.4
E_form in meV/atom: -81

```
data_CrRuPt2
_chemical_formula_sum 'Cr2 Ru2 Pt4'
_cell_length_a 3.8064
_cell_length_b 3.8064
_cell_length_c 7.5761
_cell_angle_alpha 90.00
_cell_angle_beta 90.00
_cell_angle_gamma 90.00
_space_group_name_H-M_alt 'I -4 m 2'
_space_group_IT_number 119
_space_group_name_Hall 'I -4 -2'
loop_
_atom_site_label
_atom_site_fract_x
_atom_site_fract_y
_atom_site_fract_z
_atom_site_occupancy
Cr1 0.0000 0.0000 0.0000 1
Ru1 0.0000 0.5000 0.7500 1
Pt1 0.0000 0.0000 0.5000 1
Pt2 0.0000 0.5000 0.2500 1
```

***

[5]
A plane-wave DFT calculation with PBEsol was carried out for crystalline Sb2PbCl at its relaxed geometry.

Theoretical density in Mg/m³: 6.8
Raw formation energy in eV/f.u.: -0.790

```
data_Sb2PbCl
_chemical_formula_sum 'Sb6 Pb3 Cl3'
_cell_length_a 3.9488
_cell_length_b 3.9488
_cell_length_c 26.2782
_cell_angle_alpha 90.00
_cell_angle_beta 90.00
_cell_angle_gamma 120.00
_space_group_name_H-M_alt 'R 3 m'
_space_group_IT_number 160
_space_group_name_Hall 'R 3 -2"'
loop_
_atom_site_label
_atom_site_fract_x
_atom_site_fract_y
_atom_site_fract_z
_atom_site_occupancy
Sb1 0.0000 0.0000 0.0000 1
Sb2 0.0000 0.0000 0.2666 1
Pb1 0.0000 0.0000 0.7632 1
Cl1 0.0000 0.0000 0.5034 1
```

***

[6]
A plane-wave DFT calculation with PBEsol was carried out for crystalline Na2CdTe at its relaxed geometry.

Theoretical density in Mg/m³: 3.3
Raw formation energy in eV/f.u.: -0.799

```
data_Na2CdTe
_chemical_formula_sum 'Na8 Cd4 Te4'
_cell_length_a 5.5998
_cell_length_b 5.5998
_cell_length_c 18.5931
_cell_angle_alpha 90.00
_cell_angle_beta 90.00
_cell_angle_gamma 90.00
_space_group_name_H-M_alt 'I -4 2 d'
_space_group_IT_number 122
_space_group_name_Hall 'I -4 2bw'
loop_
_atom_site_label
_atom_site_fract_x
_atom_site_fract_y
_atom_site_fract_z
_atom_site_occupancy
Na1 0.2067 0.2500 0.1250 1
Cd1 0.0000 0.0000 0.5000 1
Te1 0.0000 0.0000 0.0000 1
```

***

[7]
A plane-wave DFT calculation with PBEsol was carried out for crystalline CaNb3Al at its relaxed geometry.

Theoretical density in Mg/m³: 5.0
E_form in meV/atom: 1106

```
data_CaNb3Al
_chemical_formula_sum 'Ca1 Nb3 Al1'
_cell_length_a 4.8481
_cell_length_b 4.8481
_cell_length_c 4.8481
_cell_angle_alpha 90.00
_cell_angle_beta 90.00
_cell_angle_gamma 90.00
_space_group_name_H-M_alt 'P m -3 m'
_space_group_IT_number 221
_space_group_name_Hall '-P 4 2 3'
loop_
_atom_site_label
_atom_site_fract_x
_atom_site_fract_y
_atom_site_fract_z
_atom_site_occupancy
Ca1 0.0000 0.0000 0.0000 1
Nb1 0.0000 0.5000 0.5000 1
Al1 0.5000 0.5000 0.5000 1
```

***

[8]
A plane-wave DFT calculation with PBEsol was carried out for crystalline AlTc2 at its relaxed geometry.

Theoretical density in Mg/m³: 9.0
E_form in meV/atom: -399

```
data_AlTc2
_chemical_formula_sum 'Al2 Tc4'
_cell_length_a 2.9482
_cell_length_b 2.9482
_cell_length_c 9.4745
_cell_angle_alpha 90.00
_cell_angle_beta 90.00
_cell_angle_gamma 90.00
_space_group_name_H-M_alt 'I 4/m m m'
_space_group_IT_number 139
_space_group_name_Hall '-I 4 2'
loop_
_atom_site_label
_atom_site_fract_x
_atom_site_fract_y
_atom_site_fract_z
_atom_site_occupancy
Al1 0.0000 0.0000 0.0000 1
Tc1 0.0000 0.0000 0.3305 1
```

***

Which of these has the highest theoretical density? CrRuPt2

***

Which of these has the lowest theoretical density? Na2CdTe

***

Please write out number 8 again, unchanged.
A plane-wave DFT calculation with PBEsol was carried out for crystalline AlTc2 at its relaxed geometry.

Theoretical density in Mg/m³: 9.0
E_form in meV/atom: -399

```
data_AlTc2
_chemical_formula_sum 'Al2 Tc4'
_cell_length_a 2.9482
_cell_length_b 2.9482
_cell_length_c 9.4745
_cell_angle_alpha 90.00
_cell_angle_beta 90.00
_cell_angle_gamma 90.00
_space_group_name_H-M_alt 'I 4/m m m'
_space_group_IT_number 139
_space_group_name_Hall '-I 4 2'
loop_
_atom_site_label
_atom_site_fract_x
_atom_site_fract_y
_atom_site_fract_z
_atom_site_occupancy
Al1 0.0000 0.0000 0.0000 1
Tc1 0.0000 0.0000 0.3305 1
```